This record from the Alexandria database describes crystalline TiAuI6 at its relaxed geometry. The functional is PBE.

Its crystal system is monoclinic. For the energy above the most stable polymorph in this dataset, the calculation gives 3 meV/atom. Its space group is No. 12. The calculation puts the theoretical density at 5.01 g/cm³.

Cell and atoms, written as extended XYZ:
```
8
Lattice="3.903 -6.235 0.000 3.903 6.235 0.000 -3.820 0.000 6.854" Properties=species:S:1:pos:R:3 pbc="T T T"
Ti 0.000 0.000 0.000
Au -1.910 0.000 3.427
I 2.900 4.243 1.724
I 1.086 4.243 5.130
I 2.311 0.000 1.347
I 1.675 0.000 5.507
I 2.900 -4.243 1.724
I 1.086 -4.243 5.130
```

This record from the Alexandria database describes crystalline TiAuI2 at its relaxed geometry. The functional is PBE.

Its crystal system is cubic. For the energy above the most stable polymorph in this dataset, the calculation gives 47 meV/atom. Its space group is No. 225. The calculation puts the theoretical density at 8.31 g/cm³.

Cell and atoms, written as extended XYZ:
```
4
Lattice="0.000 3.680 3.680 3.680 0.000 3.680 3.680 3.680 0.000" Properties=species:S:1:pos:R:3 pbc="T T T"
Ti 0.000 0.000 0.000
Au 3.680 3.680 3.680
I 1.840 1.840 1.840
I 5.520 5.520 5.520
```